DFT (PBE) results for a geometry-optimized Sm4Bi2Rh structure.

SG: P2_1/m, No. 11
energy relative to the elements: -4.66 eV per formula unit
magnetization: 0.00 Bohr magnetons per cell

Lattice parameters (Å, degrees): 7.0265 6.7490 8.9391 90.00 102.05 90.00
With the nearest neighbours (Å) after each atom.
Atoms (fractional coordinates):
Sm 0.1566 0.0088 0.2983  1 Rh 2.69
Sm 0.1566 0.4912 0.2983  1 Rh 2.69
Sm 0.3036 0.2500 0.9317  4 Bi 3.17-3.54, 1 Rh 3.45
Sm 0.3221 0.7500 0.6623  1 Rh 2.88, 1 Bi 3.18
Sm 0.6779 0.2500 0.3377  1 Rh 2.88, 1 Bi 3.18
Sm 0.6964 0.7500 0.0683  4 Bi 3.17-3.54, 1 Rh 3.45
Sm 0.8434 0.5088 0.7017  1 Rh 2.69
Sm 0.8434 0.9912 0.7017  1 Rh 2.69
Bi 0.1817 0.7500 0.9786  8 Sm 3.18-3.54
Bi 0.4383 0.2500 0.6143  1 Rh 2.75
Bi 0.5617 0.7500 0.3857  1 Rh 2.75
Bi 0.8183 0.2500 0.0214  8 Sm 3.18-3.54
Rh 0.0381 0.2500 0.5611  3 Sm 2.69-2.88, 1 Bi 2.75
Rh 0.9619 0.7500 0.4389  3 Sm 2.69-2.88, 1 Bi 2.75